Entry 1:
First-principles (PBE) data for a relaxed SrMgSbF crystal, as listed in Alexandria via LeMat-Bulk.

E: -33.981 eV for the cell shown
Space group: P4/nmm (129)
Formation energy without anion corrections: -1.93 eV/atom
Magnetization: 0.00 μB/atom

Unit cell a=4.482 b=4.482 c=9.594 alpha=90.00 beta=90.00 gamma=90.00
Fractional positions:
Sb 0.500 0.000 0.188
Sb 0.000 0.500 0.812
Sr 0.000 0.500 0.370
Sr 0.500 0.000 0.630
Mg 0.000 0.000 0.000
Mg 0.500 0.500 0.000
F 0.500 0.500 0.500
F 0.000 0.000 0.500

=====

Entry 2:
First-principles (PBE) data for a relaxed MgTcSbF2 crystal, as listed in Alexandria via LeMat-Bulk.

E: -23.974 eV for the cell shown
Space group: P4/mmm (123)
Formation energy without anion corrections: -0.83 eV/atom
Magnetization: 0.53 μB/atom

Unit cell a=4.169 b=5.630 c=4.169 alpha=90.00 beta=90.00 gamma=90.00
Site moments in Bohr magnetons follow the coordinates.
Fractional positions:
Mg 0.500 0.500 0.500  0.01
Tc 0.000 0.000 0.000  2.22
F 0.500 0.000 0.000  0.11
F 0.000 0.000 0.500  0.04
Sb 0.000 0.500 0.000  0.01

=====

Entry 3:
First-principles (PBE) data for a relaxed MgSbTe2F crystal, as listed in Alexandria via LeMat-Bulk.

E: -13.236 eV for the cell shown
Space group: P4/mmm (123)
Formation energy without anion corrections: 0.13 eV/atom
Polymorph energy (0 for the lowest one): 338.7 meV per atom
Magnetization: 0.00 μB/atom

Unit cell a=5.298 b=5.298 c=5.432 alpha=90.00 beta=90.00 gamma=90.00
Fractional positions:
Te 0.000 0.500 0.000
Te 0.500 0.000 0.000
Mg 0.000 0.000 0.000
F 0.500 0.500 0.500
Sb 0.000 0.000 0.500

=====

Entry 4:
First-principles (PBE) data for a relaxed MgSbTe2F crystal, as listed in Alexandria via LeMat-Bulk.

E: -14.930 eV for the cell shown
Space group: P4/mmm (123)
Formation energy without anion corrections: -0.21 eV/atom
Polymorph energy (0 for the lowest one): 0.0 meV per atom
Magnetization: 0.00 μB/atom

Unit cell a=5.537 b=5.537 c=4.315 alpha=90.00 beta=90.00 gamma=90.00
Fractional positions:
Te 0.000 0.500 0.000
Te 0.500 0.000 0.000
Sb 0.000 0.000 0.500
Mg 0.500 0.500 0.500
F 0.000 0.000 0.000

=====

Entry 5:
First-principles (PBE) data for a relaxed MgTlSbF6 crystal, as listed in Alexandria via LeMat-Bulk.

E: -42.753 eV for the cell shown
Space group: P1 (1)
Formation energy without anion corrections: -2.60 eV/atom
Magnetization: 0.00 μB/atom

Unit cell a=5.765 b=5.766 c=5.678 alpha=90.05 beta=89.93 gamma=59.86
Fractional positions:
Tl 0.000 0.000 0.988
Sb 0.333 0.334 0.460
F 0.943 0.356 0.322
F 0.701 0.941 0.320
F 0.565 0.420 0.695
F 0.358 0.701 0.320
F 0.419 0.015 0.694
F 0.014 0.567 0.695
Mg 0.666 0.667 0.506

=====

Entry 6:
First-principles (PBE) data for a relaxed Mg2ZrSbF crystal, as listed in Alexandria via LeMat-Bulk.

E: -21.667 eV for the cell shown
Space group: P4/mmm (123)
Formation energy without anion corrections: -0.79 eV/atom
Magnetization: 0.06 μB/atom

Unit cell a=4.298 b=5.294 c=4.298 alpha=90.00 beta=90.00 gamma=90.00
Site moments in Bohr magnetons follow the coordinates.
Fractional positions:
Sb 0.500 0.500 0.500  0.00
Mg 0.500 0.000 0.000  0.00
Mg 0.000 0.000 0.500  0.00
Zr 0.000 0.500 0.000  0.18
F 0.000 0.000 0.000  0.00

=====

> Look up the magnetization of the fifth one.

0.00 μB/atom